(1)
First-principles (PBE) data for a relaxed structure of SrMnSiS4, as listed in Alexandria.

Output
Formation energy (no corrections) ... -0.963 eV/atom

a b c (Å): 4.531 6.867 10.342
angles (deg): 90.00 101.91 90.00
Space group P2_1/m (No. 11)
Inequivalent atoms, fractional coordinates:
Sr 0.185 0.250 0.380 [2 per cell]
Mn 0.464 0.250 0.048 [2 per cell]
Si 0.359 0.750 0.234 [2 per cell]
S 0.075 0.750 0.042 [2 per cell]
S 0.229 0.750 0.420 [2 per cell]
S 0.399 0.520 0.769 [4 per cell]

(2)
First-principles (PBE) data for a relaxed structure of MnSiTe2S, as listed in Alexandria.

Output
DOS(E_F) ... 6.506 states/eV per cell
Formation energy (no corrections) ... 1.092 eV/atom

a b c (Å): 5.238 5.238 4.431
angles (deg): 90.00 90.00 90.00
Space group P4/mmm (No. 123)
Inequivalent atoms, fractional coordinates:
Mn 0.000 0.000 0.000 [1 per cell]
Si 0.000 0.000 0.500 [1 per cell]
Te 0.000 0.500 0.500 [2 per cell]
S 0.500 0.500 0.000 [1 per cell]

(3)
First-principles (PBE) data for a relaxed structure of MnTlSi2S, as listed in Alexandria.

Output
DOS(E_F) ... 6.060 states/eV per cell
Formation energy (no corrections) ... 1.376 eV/atom

a b c (Å): 4.433 4.433 5.486
angles (deg): 90.00 90.00 90.00
Space group P4/mmm (No. 123)
Inequivalent atoms, fractional coordinates:
Mn 0.000 0.000 0.000 [1 per cell]
Tl 0.500 0.500 0.000 [1 per cell]
Si 0.000 0.500 0.500 [2 per cell]
S 0.500 0.500 0.500 [1 per cell]

(4)
First-principles (PBE) data for a relaxed structure of MnTlSiS4, as listed in Alexandria.

Output
DOS(E_F) ... 1.780 states/eV per cell
Formation energy (no corrections) ... -0.504 eV/atom

a b c (Å): 6.092 6.640 8.129
angles (deg): 90.00 93.77 90.00
Space group P2_1/m (No. 11)
Inequivalent atoms, fractional coordinates:
Mn 0.181 0.250 0.454 [2 per cell]
Tl 0.225 0.750 0.076 [2 per cell]
Si 0.335 0.750 0.650 [2 per cell]
S 0.104 0.510 0.682 [4 per cell]
S 0.371 0.250 0.195 [2 per cell]
S 0.461 0.750 0.415 [2 per cell]